Record 1
Material: SmY3Hg12
Method: DFT, PBE
State: relaxed

Geometry as extended XYZ:
```
16
Lattice="-0.893 -0.252 -4.447 -3.578 -2.660 0.870 -11.226 15.550 1.374" Properties=species:S:1:pos:R:3 pbc="T T T"
Sm 0.000 0.000 0.000
Y -2.825 3.913 0.346
Y -5.613 7.775 0.687
Y -8.401 11.637 1.028
Hg -2.236 -1.456 -1.788
Hg -5.058 2.453 -1.443
Hg -7.849 6.319 -1.101
Hg -10.640 10.185 -0.760
Hg -1.870 1.846 -2.049
Hg -4.664 5.716 -1.707
Hg -7.455 9.582 -1.365
Hg -10.249 13.452 -1.023
Hg -3.213 0.642 0.609
Hg -6.006 4.512 0.951
Hg -8.798 8.378 1.293
Hg -11.591 12.248 1.635
```

## Properties
total DFT energy (no corrections): -33.079 eV per formula unit
energy of formation from the pure elements: -334 meV/atom

***

Record 2
Material: SmY2Hg6
Method: DFT, PBE
State: relaxed

Geometry as extended XYZ:
```
9
Lattice="3.475 0.000 0.000 0.000 7.447 -4.299 0.000 0.000 8.599" Properties=species:S:1:pos:R:3 pbc="T T T"
Sm 0.000 0.000 8.599
Y 0.000 2.482 4.299
Y 3.475 4.965 0.000
Hg 1.738 2.491 1.438
Hg 1.738 4.956 2.861
Hg 1.738 0.000 5.722
Hg 1.738 4.956 5.738
Hg 1.738 2.491 -1.438
Hg 1.738 7.447 -1.423
```

## Properties
total DFT energy (no corrections): -23.130 eV per formula unit
energy of formation from the pure elements: -408 meV/atom